No. 1
First-principles (GGA-PBEsol) data for crystalline PrAlPd2 at its relaxed geometry, as listed in Alexandria.

The structure in CIF format:
```
data_PrAlPd2
_cell_length_a 7.4599
_cell_length_b 6.9961
_cell_length_c 5.8221
_cell_angle_alpha 90.00
_cell_angle_beta 90.00
_cell_angle_gamma 90.00
_symmetry_space_group_name_H-M 'P n m a'
_symmetry_Int_Tables_number 62
loop_
_symmetry_equiv_pos_as_xyz
'x,y,z'
'-x,-y,-z'
'-x+1/2,-y,z+1/2'
'x+1/2,y,-z+1/2'
'x+1/2,-y+1/2,-z+1/2'
'-x+1/2,y+1/2,z+1/2'
'-x,y+1/2,-z'
'x,-y+1/2,z'
loop_
_atom_site_label
_atom_site_fract_x
_atom_site_fract_y
_atom_site_fract_z
Pr1 0.0327 0.2500 0.1518
Al1 0.1179 0.7500 0.3456
Pd1 0.1768 0.0532 0.5863
```

Formation energy from the elements   -0.851 eV per atom
Crystal system   orthorhombic



No. 2
First-principles (GGA-PBEsol) data for crystalline Re2RhSe at its relaxed geometry, as listed in Alexandria.

The structure in CIF format:
```
data_Re2RhSe
_cell_length_a 3.6950
_cell_length_b 3.6950
_cell_length_c 4.3644
_cell_angle_alpha 90.00
_cell_angle_beta 90.00
_cell_angle_gamma 90.00
_symmetry_space_group_name_H-M 'P 4/m m m'
_symmetry_Int_Tables_number 123
_symmetry_space_group_name_Hall '-P 4 2'
loop_
_atom_site_label
_atom_site_fract_x
_atom_site_fract_y
_atom_site_fract_z
Re1 0.0000 0.5000 0.0000
Rh1 0.0000 0.0000 0.5000
Se1 0.5000 0.5000 0.5000
```

Crystal system   tetragonal
Energy relative to the elements, uncorrected   0.683 eV per atom



No. 3
First-principles (GGA-PBEsol) data for crystalline CdHgRu2 at its relaxed geometry, as listed in Alexandria.

The structure in CIF format:
```
data_CdHgRu2
_cell_length_a 5.5664
_cell_length_b 9.4343
_cell_length_c 2.7914
_cell_angle_alpha 90.00
_cell_angle_beta 116.85
_cell_angle_gamma 90.00
_symmetry_space_group_name_H-M 'C 1 2/m 1'
_symmetry_Int_Tables_number 12
loop_
_symmetry_equiv_pos_as_xyz
'x,y,z'
'-x,-y,-z'
'-x,y,-z'
'x,-y,z'
'x+1/2,y+1/2,z'
'-x+1/2,-y+1/2,-z'
'-x+1/2,y+1/2,-z'
'x+1/2,-y+1/2,z'
loop_
_atom_site_label
_atom_site_fract_x
_atom_site_fract_y
_atom_site_fract_z
Cd1 0.0000 0.0000 0.0000
Hg1 0.0000 0.5000 0.0000
Ru1 0.2500 0.2500 0.5000
```

Excess energy over the best structure of this formula in the dataset   311 meV per atom
Formation energy from the elements   0.601 eV per atom
Crystal system   monoclinic



No. 4
First-principles (GGA-PBEsol) data for crystalline SrZr2Mn at its relaxed geometry, as listed in Alexandria.

The structure in CIF format:
```
data_SrZr2Mn
_cell_length_a 3.4040
_cell_length_b 3.4040
_cell_length_c 28.4532
_cell_angle_alpha 90.00
_cell_angle_beta 90.00
_cell_angle_gamma 120.00
_symmetry_space_group_name_H-M 'R -3 m'
_symmetry_Int_Tables_number 166
_symmetry_space_group_name_Hall '-R 3 2"'
loop_
_atom_site_label
_atom_site_fract_x
_atom_site_fract_y
_atom_site_fract_z
Sr1 0.0000 0.0000 0.0000
Zr1 0.0000 0.0000 0.2239
Mn1 0.0000 0.0000 0.5000
```

Excess energy over the best structure of this formula in the dataset   0 meV per atom
Formation energy from the elements   0.456 eV per atom
Crystal system   trigonal